# MnPbF2

A geometry-optimized MnPbF2 structure (PBE with a Hubbard U, Alexandria).

a = 3.3639 Å, b = 3.3639 Å, c = 25.9535 Å
α = 90.00°, β = 90.00°, γ = 120.00°
Space group R-3m (No. 166, hexagonal axes)
Unique sites:
Mn (0.0000, 0.0000, 0.0000)
Pb (0.0000, 0.0000, 0.5000)
F (0.0000, 0.0000, 0.3705)

VASP energy: -5.5693 eV/atom
V: 21.19 Å³/atom